Tl12Sn2Bi | PBE | optimized geometry

Computed properties:
As for the energy of formation: 0.138 eV/atom. The value obtained for the total magnetization is 0.0 μB/f.u. For the total energy, the calculation gives -2.547 eV/atom. As for the symmetry: P4/nbm (125).

abc: 6.639 6.639 23.115
angles: 90.00 90.00 90.00
Positions (direct):
Tl  0.001  0.501  0.100
Tl  0.001  0.999  0.900
Tl  0.077  0.577  0.567
Tl  0.077  0.923  0.433
Tl  0.250  0.250  0.206
Tl  0.250  0.250  0.337
Tl  0.250  0.250  0.663
Tl  0.250  0.250  0.794
Tl  0.423  0.577  0.433
Tl  0.423  0.923  0.567
Tl  0.499  0.501  0.900
Tl  0.499  0.999  0.100
Tl  0.501  0.001  0.900
Tl  0.501  0.499  0.100
Tl  0.577  0.077  0.433
Tl  0.577  0.423  0.567
Tl  0.750  0.750  0.206
Tl  0.750  0.750  0.337
Tl  0.750  0.750  0.663
Tl  0.750  0.750  0.794
Tl  0.923  0.077  0.567
Tl  0.923  0.423  0.433
Tl  0.999  0.001  0.100
Tl  0.999  0.499  0.900
Sn  0.250  0.750  0.297
Sn  0.250  0.750  0.703
Sn  0.750  0.250  0.297
Sn  0.750  0.250  0.703
Bi  0.250  0.750  0.000
Bi  0.750  0.250  0.000

Be2ZnBI | PBE | optimized geometry

Computed properties:
The value obtained for the total magnetization is 0.0 μB/f.u. For the total energy, the calculation gives -2.246 eV/atom. The uncorrected formation energy comes out at 1145 meV per atom. As for the symmetry: P4/mmm (123).

abc: 4.686 4.686 3.841
angles: 90.00 90.00 90.00
Positions (direct):
Be  0.000  0.500  0.000
Be  0.500  0.000  0.000
Zn  0.000  0.000  0.000
B  0.000  0.000  0.500
I  0.500  0.500  0.500

ScZn2Tc | PBE | optimized geometry

Computed properties:
As for the energy of formation: 0.014 eV/atom. The value obtained for the total magnetization is 0.0 μB/f.u. For the total energy, the calculation gives -4.797 eV/atom. As for the symmetry: F-43m (216).

abc: 4.492 4.492 4.492
angles: 60.00 60.00 60.00
Positions (direct):
Sc  0.000  0.000  0.000
Zn  0.250  0.250  0.250
Zn  0.500  0.500  0.500
Tc  0.750  0.750  0.750

NaLiCdAg | PBE | optimized geometry

Computed properties:
As for the energy of formation: -0.116 eV/atom. The value obtained for the total magnetization is 0.0 μB/f.u. For the total energy, the calculation gives -1.866 eV/atom. As for the symmetry: F-43m (216).

abc: 4.875 4.875 4.875
angles: 60.00 60.00 60.00
Positions (direct):
Na  0.000  0.000  0.000
Li  0.750  0.750  0.750
Cd  0.500  0.500  0.500
Ag  0.250  0.250  0.250

Ca2Si4Ir3Pd | PBE | optimized geometry

Computed properties:
The value obtained for the total magnetization is 0.0 μB/f.u. For the total energy, the calculation gives -6.595 eV/atom. The uncorrected formation energy comes out at -848 meV per atom. As for the symmetry: P-4m2 (115).

abc: 4.142 4.142 10.032
angles: 90.00 90.00 90.00
Positions (direct):
Ca  0.000  0.500  0.245
Ca  0.500  0.000  0.755
Si  0.000  0.000  0.000
Si  0.000  0.500  0.633
Si  0.500  0.000  0.367
Si  0.500  0.500  0.000
Ir  0.000  0.500  0.873
Ir  0.500  0.000  0.127
Ir  0.500  0.500  0.500
Pd  0.000  0.000  0.500

La3TcBr3 | PBE | optimized geometry

Computed properties:
The value obtained for the total magnetization is 0.0 μB/f.u. For the total energy, the calculation gives -5.548 eV/atom. The uncorrected formation energy comes out at -1239 meV per atom. As for the symmetry: P2_1/m (11).

abc: 9.293 4.242 12.157
angles: 90.00 92.97 90.00
Positions (direct):
La  0.095  0.250  0.383
La  0.130  0.250  0.845
La  0.336  0.750  0.636
La  0.664  0.250  0.364
La  0.870  0.750  0.155
La  0.905  0.750  0.617
Tc  0.125  0.250  0.648
Tc  0.875  0.750  0.352
Br  0.115  0.250  0.118
Br  0.369  0.750  0.885
Br  0.382  0.750  0.379
Br  0.618  0.250  0.621
Br  0.631  0.250  0.115
Br  0.885  0.750  0.882

CoNi2H4 | PBE | optimized geometry

Computed properties:
The value obtained for the total magnetization is 0.7 μB/f.u. For the total energy, the calculation gives -4.545 eV/atom. As for the symmetry: Pbam (55).

abc: 4.523 7.294 2.606
angles: 90.00 90.00 90.00
Positions (direct):
Co  0.000  0.000  0.000
Co  0.500  0.500  0.000
Ni  0.074  0.326  0.500
Ni  0.426  0.826  0.500
Ni  0.574  0.174  0.500
Ni  0.926  0.674  0.500
H  0.144  0.782  0.000
H  0.250  0.037  0.500
H  0.250  0.537  0.500
H  0.356  0.282  0.000
H  0.644  0.718  0.000
H  0.750  0.463  0.500
H  0.750  0.963  0.500
H  0.856  0.218  0.000

SrAcZn10 | PBE | optimized geometry

Computed properties:
As for the energy of formation: -0.230 eV/atom. The value obtained for the total magnetization is 0.0 μB/f.u. For the total energy, the calculation gives -1.774 eV/atom. As for the symmetry: Pmmm (47).

abc: 4.311 5.552 9.649
angles: 90.00 90.00 90.00
Positions (direct):
Sr  0.000  0.000  0.000
Ac  0.000  0.500  0.500
Zn  0.000  0.000  0.326
Zn  0.000  0.000  0.674
Zn  0.000  0.500  0.162
Zn  0.000  0.500  0.838
Zn  0.500  0.000  0.500
Zn  0.500  0.251  0.252
Zn  0.500  0.251  0.748
Zn  0.500  0.500  0.000
Zn  0.500  0.749  0.252
Zn  0.500  0.749  0.748

La3BOs | PBE | optimized geometry

Computed properties:
As for the energy of formation: 0.551 eV/atom. The value obtained for the total magnetization is 0.0 μB/f.u. For the total energy, the calculation gives -5.987 eV/atom. As for the symmetry: Pm-3m (221).

abc: 5.113 5.113 5.113
angles: 90.00 90.00 90.00
Positions (direct):
La  0.000  0.000  0.500
La  0.000  0.500  0.000
La  0.500  0.000  0.000
B  0.000  0.000  0.000
Os  0.500  0.500  0.500

CaPtS | PBE | optimized geometry

Computed properties:
The value obtained for the total magnetization is 0.0 μB/f.u. For the total energy, the calculation gives -5.160 eV/atom. The uncorrected formation energy comes out at -1103 meV per atom. As for the symmetry: P1 (1).

abc: 3.937 4.454 7.533
angles: 81.66 85.95 86.54
Positions (direct):
Ca  0.000  0.000  0.000
Ca  0.049  0.338  0.454
Pt  0.467  0.430  0.762
Pt  0.553  0.845  0.409
S  0.525  0.591  0.161
S  0.580  0.945  0.701

Cr2CdPt | PBE | optimized geometry

Computed properties:
As for the energy of formation: 0.354 eV/atom. The value obtained for the total magnetization is 0.0 μB/f.u. For the total energy, the calculation gives -6.197 eV/atom. As for the symmetry: I4/mmm (139).

abc: 4.958 4.958 4.958
angles: 135.58 135.58 64.63
Positions (direct):
Cr  0.250  0.750  0.500
Cr  0.750  0.250  0.500
Cd  0.000  0.000  0.000
Pt  0.500  0.500  0.000

MnCr2Se | PBE | optimized geometry

Computed properties:
The value obtained for the total magnetization is 1.5 μB/f.u. For the total energy, the calculation gives -7.729 eV/atom. The uncorrected formation energy comes out at 246 meV per atom. As for the symmetry: P2/m (10).

abc: 3.929 3.128 4.219
angles: 90.00 90.32 90.00
Positions (direct):
Mn  0.000  0.000  0.000
Cr  0.000  0.500  0.500
Cr  0.500  0.000  0.500
Se  0.500  0.500  0.000

Repeat the ninth record exactly.
La3BOs | PBE | optimized geometry

Computed properties:
As for the energy of formation: 0.551 eV/atom. The value obtained for the total magnetization is 0.0 μB/f.u. For the total energy, the calculation gives -5.987 eV/atom. As for the symmetry: Pm-3m (221).

abc: 5.113 5.113 5.113
angles: 90.00 90.00 90.00
Positions (direct):
La  0.000  0.000  0.500
La  0.000  0.500  0.000
La  0.500  0.000  0.000
B  0.000  0.000  0.000
Os  0.500  0.500  0.500

Which of these has the highest total energy?
SrAcZn10

Number 12 is which compound?
MnCr2Se

The lowest total energy belongs to which entry?
MnCr2Se